Here is NbCoHRu2 after structural relaxation from Alexandria via LeMat-Bulk. Energies are from GGA-PBE.

The space group is P4/mmm (No. 123) and the conventional cell measures 3.922, 3.922 and 3.762 Å, with angles of 90.00, 90.00 and 90.00 degrees. Symmetry generates all atoms from Nb at (0.000, 0.000, 0.000), Co at (0.500, 0.500, 0.000), H at (0.500, 0.500, 0.500) and Ru at (0.000, 0.500, 0.500).

The density of states at the Fermi level is 3.77 states/eV per cell. For the energy, the calculation gives -7.988 eV/atom. The energy above the most stable polymorph in this dataset is 0 meV/atom.